[1]
The following is a DFT calculation (GGA-PBE) of a relaxed structure of LaLuGa2.

Cell: 3.6205 3.6205 7.3108 Å, 90.00 90.00 90.00°
Fractional positions:
La 0.0000 0.0000 0.0000
Lu 0.0000 0.0000 0.5000
Ga 0.5000 0.5000 0.2797
Ga 0.5000 0.5000 0.7203

Computed properties:
E_form = -0.579 eV per atom
VASP energy = -4.454 eV per atom
M_tot = 0.00 μB per cell
calculated density = 7855 kg/m3

=====

[2]
The following is a DFT calculation (GGA-PBE) of a relaxed structure of NbCuP3.

Cell: 4.4037 4.4037 4.4037 Å, 90.00 90.00 90.00°
Fractional positions:
Nb 0.0000 0.0000 0.0000
Cu 0.5000 0.5000 0.5000
P 0.0000 0.5000 0.5000
P 0.5000 0.0000 0.5000
P 0.5000 0.5000 0.0000

Computed properties:
E_form = 0.834 eV per atom
VASP energy = -5.245 eV per atom
M_tot = 0.00 μB per cell
calculated density = 4849 kg/m3

=====

[3]
The following is a DFT calculation (GGA-PBE) of a relaxed structure of HfSi3Rh3.

Cell: 6.3994 6.3994 6.3994 Å, 90.00 90.00 90.00°
Fractional positions:
Hf 0.0000 0.0000 0.0000
Hf 0.5000 0.5000 0.5000
Si 0.0000 0.2500 0.5000
Si 0.0000 0.7500 0.5000
Si 0.2500 0.5000 0.0000
Si 0.5000 0.0000 0.2500
Si 0.5000 0.0000 0.7500
Si 0.7500 0.5000 0.0000
Rh 0.0000 0.5000 0.2500
Rh 0.0000 0.5000 0.7500
Rh 0.2500 0.0000 0.5000
Rh 0.5000 0.2500 0.0000
Rh 0.5000 0.7500 0.0000
Rh 0.7500 0.0000 0.5000

Computed properties:
ΔE_f (raw) = -0.0645 eV/atom
VASP energy = -6.961 eV per atom
M_tot = 0.00 μB per cell
calculated density = 7242 kg/m3

=====

[4]
The following is a DFT calculation (GGA-PBE) of a relaxed structure of Ac2Pr4Y7.

Cell: 6.2821 6.2821 13.6744 Å, 90.00 90.00 120.00°
Fractional positions:
Ac 0.3333 0.6667 0.0000
Ac 0.6667 0.3333 0.0000
Pr 0.0000 0.0000 0.3932
Pr 0.0000 0.0000 0.6068
Pr 0.3333 0.6667 0.5000
Pr 0.6667 0.3333 0.5000
Y 0.0000 0.0000 0.0000
Y 0.0000 0.3528 0.2163
Y 0.0000 0.6472 0.7837
Y 0.3528 0.0000 0.2163
Y 0.3528 0.3528 0.7837
Y 0.6472 0.0000 0.7837
Y 0.6472 0.6472 0.2163

Computed properties:
E_form = 0.182 eV per atom
VASP energy = -5.401 eV per atom
M_tot = 0.00 μB per cell
calculated density = 5827 kg/m3

=====

[5]
The following is a DFT calculation (GGA-PBE) of a relaxed structure of CeY6Er.

Cell: 6.4546 6.4546 6.4546 Å, 95.92 95.92 95.92°
Fractional positions:
Ce 0.0000 0.0000 0.0000
Y 0.0341 0.7480 0.4523
Y 0.2520 0.5477 0.9659
Y 0.4523 0.0341 0.7480
Y 0.5477 0.9659 0.2520
Y 0.7480 0.4523 0.0341
Y 0.9659 0.2520 0.5477
Er 0.5000 0.5000 0.5000

Computed properties:
E_form = 0.178 eV per atom
VASP energy = -5.982 eV per atom
M_tot = 1.77 μB per cell
calculated density = 5283 kg/m3

=====

[6]
The following is a DFT calculation (GGA-PBE) of a relaxed structure of ScTc2Os.

Cell: 3.8019 3.8019 8.7111 Å, 90.00 90.00 90.00°
Fractional positions:
Sc 0.0000 0.0000 0.0000
Sc 0.5000 0.5000 0.5000
Tc 0.0000 0.5000 0.2500
Tc 0.0000 0.5000 0.7500
Tc 0.5000 0.0000 0.2500
Tc 0.5000 0.0000 0.7500
Os 0.0000 0.0000 0.5000
Os 0.5000 0.5000 0.0000

Computed properties:
E_form = 0.114 eV per atom
VASP energy = -9.460 eV per atom
M_tot = 0.00 μB per cell
calculated density = 11373 kg/m3

=====

[7]
The following is a DFT calculation (GGA-PBE) of a relaxed structure of Cs2TlAsI6.

Cell: 8.7672 8.7672 8.7672 Å, 60.00 60.00 60.00°
Fractional positions:
Cs 0.2500 0.2500 0.2500
Cs 0.7500 0.7500 0.7500
Tl 0.0000 0.0000 0.0000
As 0.5000 0.5000 0.5000
I 0.2671 0.2671 0.7329
I 0.2671 0.7329 0.2671
I 0.2671 0.7329 0.7329
I 0.7329 0.2671 0.2671
I 0.7329 0.2671 0.7329
I 0.7329 0.7329 0.2671

Computed properties:
ΔE_f (raw) = -0.8303 eV/atom
VASP energy = -2.633 eV per atom
M_tot = 0.00 μB per cell
calculated density = 4553 kg/m3

=====

[8]
The following is a DFT calculation (GGA-PBE) of a relaxed structure of CaSn2BiH.

Cell: 4.9182 4.9182 4.8848 Å, 90.00 90.00 90.00°
Fractional positions:
Ca 0.0000 0.0000 0.0000
Sn 0.0000 0.5000 0.5000
Sn 0.5000 0.0000 0.5000
Bi 0.5000 0.5000 0.0000
H 0.0000 0.0000 0.5000

Computed properties:
VASP energy = -3.592 eV per atom
M_tot = 0.00 μB per cell
calculated density = 6851 kg/m3

=====

[9]
The following is a DFT calculation (GGA-PBE) of a relaxed structure of Pr2Sn2Ru2C.

Cell: 11.7362 4.3732 7.5192 Å, 90.00 127.86 90.00°
Fractional positions:
Pr 0.0493 0.0000 0.2752
Pr 0.4507 0.5000 0.7248
Pr 0.5493 0.5000 0.2752
Pr 0.9507 0.0000 0.7248
Sn 0.1645 0.5000 0.7008
Sn 0.3355 0.0000 0.2992
Sn 0.6645 0.0000 0.7008
Sn 0.8355 0.5000 0.2992
Ru 0.1852 0.5000 0.0770
Ru 0.3148 0.0000 0.9230
Ru 0.6852 0.0000 0.0770
Ru 0.8148 0.5000 0.9230
C 0.0000 0.5000 0.0000
C 0.5000 0.0000 0.0000

Computed properties:
E_form = -0.496 eV per atom
VASP energy = -6.973 eV per atom
M_tot = 0.00 μB per cell
calculated density = 7994 kg/m3

=====

[10]
The following is a DFT calculation (GGA-PBE) of a relaxed structure of Pu5Ag3Au3.

Cell: 2.8736 10.3084 10.3084 Å, 124.39 90.00 90.00°
Fractional positions:
Pu 0.0000 0.0000 0.0000
Pu 0.0000 0.3185 0.6407
Pu 0.0000 0.6407 0.3185
Pu 0.0000 0.7269 0.9140
Pu 0.0000 0.9140 0.7269
Ag 0.0000 0.0024 0.2866
Ag 0.0000 0.2866 0.0024
Ag 0.0000 0.3142 0.3142
Au 0.5000 0.5127 0.9827
Au 0.5000 0.5784 0.5784
Au 0.5000 0.9827 0.5127

Computed properties:
E_form = -0.004 eV per atom
VASP energy = -8.190 eV per atom
M_tot = 18.69 μB per cell
calculated density = 14066 kg/m3

=====

[11]
The following is a DFT calculation (GGA-PBE) of a relaxed structure of Er4HgGeTe2.

Cell: 7.2983 4.1820 7.5970 Å, 90.00 108.06 90.00°
Fractional positions:
Er 0.2311 0.0000 0.2251
Er 0.2452 0.5000 0.7631
Er 0.7548 0.5000 0.2369
Er 0.7689 0.0000 0.7749
Hg 0.5000 0.0000 0.0000
Ge 0.0000 0.5000 0.0000
Te 0.0000 0.0000 0.5000
Te 0.5000 0.5000 0.5000

Computed properties:
ΔE_f (raw) = -0.9552 eV/atom
VASP energy = -4.637 eV per atom
M_tot = 0.00 μB per cell
calculated density = 9020 kg/m3

=====

[12]
The following is a DFT calculation (GGA-PBE) of a relaxed structure of TbPm12Sb6.

Cell: 9.0303 9.0303 9.0303 Å, 103.83 103.83 103.83°
Fractional positions:
Tb 0.0000 0.0000 0.0000
Pm 0.0340 0.3287 0.9361
Pm 0.0639 0.9660 0.6713
Pm 0.1742 0.5259 0.3862
Pm 0.3287 0.9361 0.0340
Pm 0.3862 0.1742 0.5259
Pm 0.4741 0.6138 0.8258
Pm 0.5259 0.3862 0.1742
Pm 0.6138 0.8258 0.4741
Pm 0.6713 0.0639 0.9660
Pm 0.8258 0.4741 0.6138
Pm 0.9361 0.0340 0.3287
Pm 0.9660 0.6713 0.0639
Sb 0.1339 0.3363 0.6298
Sb 0.3363 0.6298 0.1339
Sb 0.3702 0.8661 0.6637
Sb 0.6298 0.1339 0.3363
Sb 0.6637 0.3702 0.8661
Sb 0.8661 0.6637 0.3702

Computed properties:
ΔE_f (raw) = -0.4904 eV/atom
VASP energy = -5.036 eV per atom
M_tot = 0.00 μB per cell
calculated density = 6625 kg/m3

=====

[13]
The following is a DFT calculation (GGA-PBE) of a relaxed structure of MnTe2Rh.

Cell: 4.0331 4.0331 18.6481 Å, 90.00 90.00 120.00°
Fractional positions:
Mn 0.0000 0.0000 0.0000
Mn 0.3333 0.6667 0.6667
Mn 0.6667 0.3333 0.3333
Te 0.0000 0.0000 0.2441
Te 0.0000 0.0000 0.7559
Te 0.3333 0.6667 0.4225
Te 0.3333 0.6667 0.9108
Te 0.6667 0.3333 0.0892
Te 0.6667 0.3333 0.5775
Rh 0.0000 0.0000 0.5000
Rh 0.3333 0.6667 0.1667
Rh 0.6667 0.3333 0.8333

Computed properties:
ΔE_f (raw) = -0.0640 eV/atom
VASP energy = -5.765 eV per atom
M_tot = 13.39 μB per cell
calculated density = 7833 kg/m3

=====

[14]
The following is a DFT calculation (GGA-PBE) of a relaxed structure of Co2HIrRh.

Cell: 3.7852 3.7852 3.7369 Å, 90.00 90.00 90.00°
Fractional positions:
Co 0.0000 0.5000 0.0000
Co 0.5000 0.0000 0.0000
H 0.0000 0.0000 0.0000
Ir 0.0000 0.0000 0.5000
Rh 0.5000 0.5000 0.5000

Computed properties:
VASP energy = -6.650 eV per atom
M_tot = 3.97 μB per cell
calculated density = 12840 kg/m3

=====

[15]
The following is a DFT calculation (GGA-PBE) of a relaxed structure of Tl2SiBr.

Cell: 3.8491 4.9237 6.1765 Å, 90.00 90.00 90.00°
Fractional positions:
Tl 0.0000 0.0000 0.0000
Tl 0.5000 0.5000 0.4992
Si 0.5000 0.5000 0.9992
Br 0.0000 0.0000 0.5001

Computed properties:
ΔE_f (raw) = 0.0615 eV/atom
VASP energy = -2.896 eV per atom
M_tot = 0.00 μB per cell
calculated density = 7331 kg/m3

=====

[16]
The following is a DFT calculation (GGA-PBE) of a relaxed structure of La2Tm2Al.

Cell: 4.9151 4.9151 25.7673 Å, 90.00 90.00 120.00°
Fractional positions:
La 0.0000 0.0000 0.0656
La 0.0000 0.0000 0.9344
La 0.3333 0.6667 0.6010
La 0.3333 0.6667 0.7323
La 0.6667 0.3333 0.2677
La 0.6667 0.3333 0.3990
Tm 0.0000 0.0000 0.1995
Tm 0.0000 0.0000 0.8005
Tm 0.3333 0.6667 0.4672
Tm 0.3333 0.6667 0.8662
Tm 0.6667 0.3333 0.1338
Tm 0.6667 0.3333 0.5328
Al 0.0000 0.0000 0.5000
Al 0.3333 0.6667 0.1667
Al 0.6667 0.3333 0.8333

Computed properties:
E_form = 0.346 eV per atom
VASP energy = -4.162 eV per atom
M_tot = 0.00 μB per cell
calculated density = 5939 kg/m3

=====

[17]
The following is a DFT calculation (GGA-PBE) of a relaxed structure of ZnW2Se.

Cell: 3.2750 4.5426 8.6462 Å, 90.00 90.00 90.00°
Fractional positions:
Zn 0.0000 0.0000 0.0000
Zn 0.5000 0.5000 0.5000
W 0.0000 0.0000 0.4988
W 0.0000 0.5000 0.2443
W 0.5000 0.0000 0.7443
W 0.5000 0.5000 0.9988
Se 0.0000 0.5000 0.7636
Se 0.5000 0.0000 0.2636

Computed properties:
ΔE_f (raw) = 0.5510 eV/atom
VASP energy = -7.115 eV per atom
M_tot = 0.00 μB per cell
calculated density = 13221 kg/m3

=====

[18]
The following is a DFT calculation (GGA-PBE) of a relaxed structure of Ba2Si3AgAu12.

Cell: 8.3741 8.3741 8.3741 Å, 64.45 64.45 64.45°
Fractional positions:
Ba 0.1104 0.1104 0.1104
Ba 0.8896 0.8896 0.8896
Si 0.0000 0.5000 0.5000
Si 0.5000 0.0000 0.5000
Si 0.5000 0.5000 0.0000
Ag 0.5000 0.5000 0.5000
Au 0.1285 0.6199 0.6199
Au 0.1791 0.1791 0.6264
Au 0.1791 0.6264 0.1791
Au 0.3736 0.8209 0.8209
Au 0.3801 0.3801 0.8715
Au 0.3801 0.8715 0.3801
Au 0.6199 0.1285 0.6199
Au 0.6199 0.6199 0.1285
Au 0.6264 0.1791 0.1791
Au 0.8209 0.3736 0.8209
Au 0.8209 0.8209 0.3736
Au 0.8715 0.3801 0.3801

Computed properties:
ΔE_f (raw) = -0.0911 eV/atom
VASP energy = -3.552 eV per atom
M_tot = 0.00 μB per cell
calculated density = 10312 kg/m3

=====

[19]
The following is a DFT calculation (GGA-PBE) of a relaxed structure of LiPm3Er2Te6.

Cell: 9.8236 9.8236 8.7947 Å, 103.56 103.56 25.71°
Fractional positions:
Li 0.0000 0.0000 0.0000
Pm 0.0000 0.0000 0.5000
Pm 0.3341 0.3341 0.1714
Pm 0.6659 0.6659 0.8286
Er 0.3340 0.3340 0.6643
Er 0.6660 0.6660 0.3357
Te 0.1616 0.1616 0.0877
Te 0.1691 0.1691 0.5765
Te 0.4971 0.4971 0.7637
Te 0.5029 0.5029 0.2363
Te 0.8309 0.8309 0.4235
Te 0.8384 0.8384 0.9123

Computed properties:
ΔE_f (raw) = -1.3346 eV/atom
VASP energy = -5.013 eV per atom
M_tot = 0.00 μB per cell
calculated density = 7166 kg/m3

=====

[20]
The following is a DFT calculation (GGA-PBE) of a relaxed structure of Dy4SnBi.

Cell: 8.2064 8.2064 6.2920 Å, 101.67 101.67 115.26°
Fractional positions:
Dy 0.0919 0.7089 0.9417
Dy 0.2046 0.3880 0.6478
Dy 0.2911 0.9081 0.5583
Dy 0.3880 0.2046 0.1478
Dy 0.6120 0.7954 0.8522
Dy 0.7089 0.0919 0.4417
Dy 0.7954 0.6120 0.3522
Dy 0.9081 0.2911 0.0583
Sn 0.0017 0.9983 0.2500
Sn 0.9983 0.0017 0.7500
Bi 0.3886 0.6114 0.2500
Bi 0.6114 0.3886 0.7500

Computed properties:
E_form = -0.498 eV per atom
VASP energy = -4.880 eV per atom
M_tot = 0.01 μB per cell
calculated density = 9151 kg/m3